# 1
DFT (PBE) results for a geometry-optimized RbRhPb2O8 structure.

Output
symmetry	P-1, No. 2
D(E_F)	0.4721	states/eV per atom
total magnetic moment	0.806	μB/cell
E	-5.353	eV/atom

Cell lengths 3.9930, 6.0629, 8.0007 Å; angles 84.06, 77.61, 78.57 degrees
Element x y z (fractional)
Rb 0.0000 0.0000 0.0000
Rh 0.0000 0.0000 0.5000
Pb 0.3593 0.4617 0.3023
Pb 0.6407 0.5383 0.6977
O 0.1651 0.6681 0.5605
O 0.1750 0.4928 0.9988
O 0.2550 0.1189 0.6562
O 0.4230 0.0173 0.3067
O 0.5770 0.9827 0.6933
O 0.7450 0.8811 0.3438
O 0.8250 0.5072 0.0012
O 0.8349 0.3319 0.4395



# 2
DFT (PBE) results for a geometry-optimized Rb2RhPbO4 structure.

Output
symmetry	I-4, No. 82
D(E_F)	0.1184	states/eV per atom
total magnetic moment	2.969	μB/cell
E	-5.085	eV/atom

Cell lengths 5.9336, 5.9336, 5.9336 Å; angles 113.47, 113.47, 101.74 degrees
Element x y z (fractional)
Rb 0.0000 0.0000 0.0000
Rb 0.7500 0.2500 0.5000
Rh 0.2500 0.7500 0.5000
Pb 0.5000 0.5000 0.0000
O 0.1467 0.5581 0.0968
O 0.4419 0.5388 0.5886
O 0.4612 0.0498 0.9032
O 0.9502 0.8533 0.4114



# 3
DFT (PBE) results for a geometry-optimized RbRuPbO6 structure.

Output
symmetry	P312, No. 149
D(E_F)	0.3860	states/eV per atom
total magnetic moment	0.000	μB/cell
E	-5.725	eV/atom

Cell lengths 5.6549, 5.6549, 6.0897 Å; angles 90.00, 90.00, 120.00 degrees
Element x y z (fractional)
Rb 0.0000 0.0000 0.0000
Ru 0.6667 0.3333 0.5000
Pb 0.3333 0.6667 0.5000
O 0.4318 0.0403 0.6888
O 0.4318 0.3914 0.3112
O 0.6086 0.0403 0.3112
O 0.6086 0.5682 0.6888
O 0.9597 0.3914 0.6888
O 0.9597 0.5682 0.3112



# 4
DFT (PBE) results for a geometry-optimized Rb2RuPb2O6 structure.

Output
symmetry	C2/m, No. 12
D(E_F)	0.4764	states/eV per atom
total magnetic moment	0.000	μB/cell
E	-5.557	eV/atom

Cell lengths 5.9471, 5.9471, 6.8012 Å; angles 98.34, 98.34, 118.78 degrees
Element x y z (fractional)
Rb 0.1678 0.8322 0.0000
Rb 0.8322 0.1678 0.0000
Ru 0.0000 0.0000 0.5000
Pb 0.3354 0.6646 0.5000
Pb 0.6646 0.3354 0.5000
O 0.0520 0.3381 0.6675
O 0.2218 0.2218 0.3305
O 0.3381 0.0520 0.6675
O 0.6619 0.9480 0.3325
O 0.7782 0.7782 0.6695
O 0.9480 0.6619 0.3325



# 5
DFT (PBE) results for a geometry-optimized RbPbSO6 structure.

Output
symmetry	P312, No. 149
D(E_F)	0.7342	states/eV per atom
total magnetic moment	1.058	μB/cell
E	-5.121	eV/atom

Cell lengths 5.2723, 5.2723, 6.2293 Å; angles 90.00, 90.00, 120.00 degrees
Element x y z (fractional)
Rb 0.0000 0.0000 0.0000
Pb 0.3333 0.6667 0.5000
S 0.6667 0.3333 0.5000
O 0.4154 0.0737 0.6625
O 0.4154 0.3417 0.3375
O 0.6583 0.0737 0.3375
O 0.6583 0.5846 0.6625
O 0.9263 0.3417 0.6625
O 0.9263 0.5846 0.3375



# 6
DFT (PBE) results for a geometry-optimized Rb3PbS2O8 structure.

Output
symmetry	P-3m1, No. 164
D(E_F)	0.1720	states/eV per atom
total magnetic moment	1.017	μB/cell
E	-5.453	eV/atom

Cell lengths 5.9257, 5.9257, 8.9336 Å; angles 90.00, 90.00, 120.00 degrees
Element x y z (fractional)
Rb 0.0000 0.0000 0.0000
Rb 0.3333 0.6667 0.7317
Rb 0.6667 0.3333 0.2683
Pb 0.0000 0.0000 0.5000
S 0.3333 0.6667 0.2118
S 0.6667 0.3333 0.7882
O 0.1951 0.3902 0.2683
O 0.1951 0.8049 0.2683
O 0.3333 0.6667 0.0461
O 0.3902 0.1951 0.7317
O 0.6098 0.8049 0.2683
O 0.6667 0.3333 0.9539
O 0.8049 0.1951 0.7317
O 0.8049 0.6098 0.7317



# 7
DFT (PBE) results for a geometry-optimized Rb2PbS2O6 structure.

Output
symmetry	R-3m, No. 166
D(E_F)	0.0000	states/eV per atom
total magnetic moment	0.000	μB/cell
E	-5.494	eV/atom

Cell lengths 7.7341, 7.7341, 7.7341 Å; angles 44.33, 44.33, 44.33 degrees
Element x y z (fractional)
Rb 0.2050 0.2050 0.2050
Rb 0.7950 0.7950 0.7950
Pb 0.0000 0.0000 0.0000
S 0.3858 0.3858 0.3858
S 0.6142 0.6142 0.6142
O 0.2747 0.2747 0.6965
O 0.2747 0.6965 0.2747
O 0.3035 0.7253 0.7253
O 0.6965 0.2747 0.2747
O 0.7253 0.3035 0.7253
O 0.7253 0.7253 0.3035



# 8
DFT (PBE) results for a geometry-optimized RbPbS2O6 structure.

Output
symmetry	C2/c, No. 15
D(E_F)	0.0689	states/eV per atom
total magnetic moment	2.043	μB/cell
E	-5.618	eV/atom

Cell lengths 7.0415, 7.0415, 8.1387 Å; angles 103.68, 103.68, 104.46 degrees
Element x y z (fractional)
Rb 0.1603 0.8397 0.7500
Rb 0.8397 0.1603 0.2500
Pb 0.4200 0.5800 0.2500
Pb 0.5800 0.4200 0.7500
S 0.0605 0.3103 0.7607
S 0.3103 0.0605 0.2607
S 0.6897 0.9395 0.7393
S 0.9395 0.6897 0.2393
O 0.0911 0.5883 0.3179
O 0.1538 0.2273 0.6220
O 0.2273 0.1538 0.1220
O 0.2375 0.4792 0.9134
O 0.4117 0.9089 0.1821
O 0.4792 0.2375 0.4134
O 0.5208 0.7625 0.5866
O 0.5883 0.0911 0.8179
O 0.7625 0.5208 0.0866
O 0.7727 0.8462 0.8780
O 0.8462 0.7727 0.3780
O 0.9089 0.4117 0.6821



# 9
DFT (PBE) results for a geometry-optimized RbPbSO4 structure.

Output
symmetry	P2_1/m, No. 11
total magnetic moment	0.000	μB/cell
E	-5.555	eV/atom

Cell lengths 4.9115, 5.8041, 10.6970 Å; angles 90.00, 94.57, 90.00 degrees
Element x y z (fractional)
Rb 0.1988 0.2500 0.3846
Rb 0.8012 0.7500 0.6154
Pb 0.1103 0.7500 0.0540
Pb 0.8897 0.2500 0.9460
S 0.3942 0.2500 0.7144
S 0.6058 0.7500 0.2856
O 0.2949 0.0393 0.6484
O 0.2949 0.4607 0.6484
O 0.2953 0.7500 0.2745
O 0.3162 0.2500 0.8496
O 0.6838 0.7500 0.1504
O 0.7047 0.2500 0.7255
O 0.7051 0.5393 0.3516
O 0.7051 0.9607 0.3516



# 10
DFT (PBE) results for a geometry-optimized Rb3Sb2PbO8 structure.

Output
symmetry	P-3m1, No. 164
D(E_F)	0.2181	states/eV per atom
total magnetic moment	0.000	μB/cell
E	-5.236	eV/atom

Cell lengths 6.3070, 6.3070, 8.1506 Å; angles 90.00, 90.00, 120.00 degrees
Element x y z (fractional)
Rb 0.0000 0.0000 0.0000
Rb 0.3333 0.6667 0.6794
Rb 0.6667 0.3333 0.3206
Sb 0.3333 0.6667 0.2358
Sb 0.6667 0.3333 0.7642
Pb 0.0000 0.0000 0.5000
O 0.1693 0.3386 0.3234
O 0.1693 0.8307 0.3234
O 0.3333 0.6667 0.0063
O 0.3386 0.1693 0.6766
O 0.6614 0.8307 0.3234
O 0.6667 0.3333 0.9937
O 0.8307 0.1693 0.6766
O 0.8307 0.6614 0.6766



# 11
DFT (PBE) results for a geometry-optimized RbSbPb2O6 structure.

Output
symmetry	R3, No. 146
D(E_F)	0.0000	states/eV per atom
total magnetic moment	0.000	μB/cell
E	-5.497	eV/atom

Cell lengths 7.2448, 7.2448, 7.2448 Å; angles 46.40, 46.40, 46.40 degrees
Element x y z (fractional)
Rb 0.0000 0.0000 0.0000
Sb 0.4714 0.4714 0.4714
Pb 0.2499 0.2499 0.2499
Pb 0.7982 0.7982 0.7982
O 0.1061 0.6731 0.4565
O 0.2214 0.5582 0.8188
O 0.4565 0.1061 0.6731
O 0.5582 0.8188 0.2214
O 0.6731 0.4565 0.1061
O 0.8188 0.2214 0.5582



# 12
DFT (PBE) results for a geometry-optimized RbPbSe2O6 structure.

Output
symmetry	C2/c, No. 15
D(E_F)	0.2144	states/eV per atom
total magnetic moment	0.000	μB/cell
E	-5.172	eV/atom

Cell lengths 7.1614, 7.1614, 7.4793 Å; angles 101.08, 101.08, 99.16 degrees
Element x y z (fractional)
Rb 0.1685 0.8315 0.7500
Rb 0.8315 0.1685 0.2500
Pb 0.4257 0.5743 0.2500
Pb 0.5743 0.4257 0.7500
Se 0.0718 0.3211 0.8207
Se 0.3211 0.0718 0.3207
Se 0.6789 0.9282 0.6793
Se 0.9282 0.6789 0.1793
O 0.0878 0.5346 0.2573
O 0.1186 0.2018 0.6235
O 0.2018 0.1186 0.1235
O 0.3021 0.4919 0.9112
O 0.4654 0.9122 0.2427
O 0.4919 0.3021 0.4112
O 0.5081 0.6979 0.5888
O 0.5346 0.0878 0.7573
O 0.6979 0.5081 0.0888
O 0.7982 0.8814 0.8765
O 0.8814 0.7982 0.3765
O 0.9122 0.4654 0.7427



| no. | raw formation energy (eV/f.u.) |
| --- | --- |
| 1 | -8.83 |
| 2 | -7.85 |
| 3 | -7.83 |
| 4 | -12.75 |
| 5 | -7.53 |
| 6 | -21.80 |
| 7 | -16.79 |
| 8 | -13.50 |
| 9 | -10.25 |
| 10 | -18.78 |
| 11 | -12.71 |
| 12 | -10.33 |